Record 1
{"formula": "LaY2Se", "functional": "PBE", "state": "optimized geometry", "formation_energy_uncorrected_ev_per_atom": -0.8069, "vol_a3_per_cell": 380, "lattice": [[3.864, 0.000, 0.000], [-1.932, 3.346, 0.000], [0.000, 0.000, 29.368]], "species": ["La", "La", "La", "Y", "Y", "Y", "Y", "Y", "Y", "Se", "Se", "Se"], "fractional_positions": [[0.000, 0.000, 0.000], [0.333, 0.667, 0.667], [0.667, 0.333, 0.333], [0.000, 0.000, 0.230], [0.000, 0.000, 0.466], [0.333, 0.667, 0.132], [0.333, 0.667, 0.897], [0.667, 0.333, 0.563], [0.667, 0.333, 0.799], [0.000, 0.000, 0.737], [0.333, 0.667, 0.403], [0.667, 0.333, 0.070]]}

***

Record 2
{"formula": "La4YSe5", "functional": "PBE", "state": "optimized geometry", "polymorph_energy_mev_per_atom": 8.7, "formation_energy_uncorrected_ev_per_atom": -1.9391, "vol_a3_per_cell": 276, "lattice": [[-2.136, 2.136, 15.109], [2.136, -2.136, 15.109], [2.136, 2.136, -15.109]], "species": ["La", "La", "La", "La", "Y", "Se", "Se", "Se", "Se", "Se"], "fractional_positions": [[0.100, 0.100, 0.000], [0.302, 0.302, 0.000], [0.698, 0.698, 0.000], [0.900, 0.900, 0.000], [0.500, 0.500, 0.000], [0.000, 0.000, 0.000], [0.201, 0.201, 0.000], [0.404, 0.404, 0.000], [0.596, 0.596, 0.000], [0.799, 0.799, 0.000]]}

***

Record 3
{"formula": "LaYSe2", "functional": "PBE", "state": "optimized geometry", "polymorph_energy_mev_per_atom": 0.0, "formation_energy_uncorrected_ev_per_atom": -1.8910, "vol_a3_per_cell": 209, "lattice": [[7.225, 0.000, 0.000], [0.000, 4.184, 0.000], [-2.422, 0.000, 6.922]], "species": ["La", "La", "Y", "Y", "Se", "Se", "Se", "Se"], "fractional_positions": [[0.000, 0.000, 0.000], [0.500, 0.500, 0.000], [0.000, 0.500, 0.500], [0.500, 0.000, 0.500], [0.244, 0.000, 0.732], [0.256, 0.500, 0.268], [0.744, 0.500, 0.732], [0.756, 0.000, 0.268]]}

***

Record 4
{"formula": "La2Y2Se7", "functional": "PBE", "state": "optimized geometry", "formation_energy_uncorrected_ev_per_atom": -1.5019, "vol_a3_per_cell": 358, "lattice": [[5.239, -5.263, 0.000], [5.239, 5.263, 0.000], [-0.007, 0.000, 6.496]], "species": ["La", "La", "Y", "Y", "Se", "Se", "Se", "Se", "Se", "Se", "Se"], "fractional_positions": [[0.235, 0.235, 0.000], [0.765, 0.765, 0.000], [0.211, 0.789, 0.500], [0.789, 0.211, 0.500], [0.000, 0.000, 0.251], [0.000, 0.000, 0.749], [0.000, 0.500, 0.270], [0.000, 0.500, 0.730], [0.500, 0.000, 0.270], [0.500, 0.000, 0.730], [0.500, 0.500, 0.000]]}

***

Record 5
{"formula": "La2Y3Se4", "functional": "PBE", "state": "optimized geometry", "formation_energy_uncorrected_ev_per_atom": -1.5864, "vol_a3_per_cell": 248, "lattice": [[10.712, -2.027, 0.000], [10.712, 2.027, 0.000], [-1.637, 0.000, 5.706]], "species": ["La", "La", "Y", "Y", "Y", "Se", "Se", "Se", "Se"], "fractional_positions": [[0.093, 0.093, 0.095], [0.907, 0.907, 0.905], [0.302, 0.302, 0.302], [0.500, 0.500, 0.500], [0.698, 0.698, 0.698], [0.100, 0.100, 0.601], [0.298, 0.298, 0.797], [0.702, 0.702, 0.203], [0.900, 0.900, 0.399]]}

***

Record 6
{"formula": "LaYSe2", "functional": "PBE", "state": "optimized geometry", "polymorph_energy_mev_per_atom": 473.9, "formation_energy_uncorrected_ev_per_atom": -1.4171, "vol_a3_per_cell": 571, "lattice": [[6.605, 0.000, 0.000], [0.000, 6.605, 0.000], [0.000, 0.000, 13.101]], "species": ["La", "La", "La", "La", "Y", "Y", "Y", "Y", "Se", "Se", "Se", "Se", "Se", "Se", "Se", "Se"], "fractional_positions": [[0.000, 0.000, 0.000], [0.000, 0.500, 0.250], [0.500, 0.000, 0.750], [0.500, 0.500, 0.500], [0.000, 0.000, 0.500], [0.000, 0.500, 0.750], [0.500, 0.000, 0.250], [0.500, 0.500, 0.000], [0.230, 0.250, 0.625], [0.250, 0.730, 0.875], [0.250, 0.770, 0.375], [0.270, 0.250, 0.125], [0.730, 0.750, 0.125], [0.750, 0.230, 0.375], [0.750, 0.270, 0.875], [0.770, 0.750, 0.625]]}

***

Record 7
{"formula": "LaY2Se", "functional": "PBE", "state": "optimized geometry", "formation_energy_uncorrected_ev_per_atom": -0.8379, "vol_a3_per_cell": 365, "lattice": [[3.803, 0.000, 0.000], [-1.901, 3.293, 0.000], [0.000, 0.000, 29.164]], "species": ["La", "La", "La", "Y", "Y", "Y", "Y", "Y", "Y", "Se", "Se", "Se"], "fractional_positions": [[0.000, 0.000, 0.000], [0.333, 0.667, 0.667], [0.667, 0.333, 0.333], [0.000, 0.000, 0.231], [0.000, 0.000, 0.769], [0.333, 0.667, 0.436], [0.333, 0.667, 0.897], [0.667, 0.333, 0.103], [0.667, 0.333, 0.564], [0.000, 0.000, 0.500], [0.333, 0.667, 0.167], [0.667, 0.333, 0.833]]}

***

Record 8
{"formula": "LaYSe2", "functional": "PBE", "state": "optimized geometry", "polymorph_energy_mev_per_atom": 265.8, "formation_energy_uncorrected_ev_per_atom": -1.6253, "vol_a3_per_cell": 96, "lattice": [[3.634, 0.000, 0.000], [0.000, 3.634, 0.000], [0.000, 0.000, 7.284]], "species": ["La", "Y", "Se", "Se"], "fractional_positions": [[0.000, 0.000, 0.000], [0.000, 0.000, 0.500], [0.500, 0.500, 0.262], [0.500, 0.500, 0.738]]}

***

Record 9
{"formula": "LaY4Se", "functional": "PBE", "state": "optimized geometry", "formation_energy_uncorrected_ev_per_atom": 0.2124, "vol_a3_per_cell": 201, "lattice": [[0.000, 4.651, 4.651], [4.651, 0.000, 4.651], [4.651, 4.651, 0.000]], "species": ["La", "Y", "Y", "Y", "Y", "Se"], "fractional_positions": [[0.000, 0.000, 0.000], [0.374, 0.374, 0.374], [0.374, 0.374, 0.878], [0.374, 0.878, 0.374], [0.878, 0.374, 0.374], [0.750, 0.750, 0.750]]}

***

Record 10
{"formula": "LaY2Se", "functional": "PBE", "state": "optimized geometry", "formation_energy_uncorrected_ev_per_atom": -0.7714, "vol_a3_per_cell": 244, "lattice": [[3.835, 0.000, 0.000], [0.000, 4.824, 0.000], [0.000, 0.000, 13.195]], "species": ["La", "La", "Y", "Y", "Y", "Y", "Se", "Se"], "fractional_positions": [[0.000, 0.000, 0.000], [0.000, 0.500, 0.500], [0.000, 0.000, 0.289], [0.000, 0.500, 0.789], [0.500, 0.000, 0.680], [0.500, 0.500, 0.180], [0.500, 0.000, 0.464], [0.500, 0.500, 0.964]]}

***

Record 11
{"formula": "LaY2Se", "functional": "PBE", "state": "optimized geometry", "formation_energy_uncorrected_ev_per_atom": -0.7142, "vol_a3_per_cell": 118, "lattice": [[3.699, 0.000, 0.000], [0.000, 3.699, 0.000], [0.000, 0.000, 8.603]], "species": ["La", "Y", "Y", "Se"], "fractional_positions": [[0.000, 0.000, 0.000], [0.000, 0.000, 0.413], [0.500, 0.500, 0.689], [0.500, 0.500, 0.235]]}

***

Record 12
{"formula": "La2Y2Se5", "functional": "PBE", "state": "optimized geometry", "formation_energy_uncorrected_ev_per_atom": -1.8410, "vol_a3_per_cell": 464, "lattice": [[7.495, -3.947, 0.000], [7.495, 3.947, 0.000], [0.000, 0.000, 7.841]], "species": ["La", "La", "La", "La", "Y", "Y", "Y", "Y", "Se", "Se", "Se", "Se", "Se", "Se", "Se", "Se", "Se", "Se"], "fractional_positions": [[0.197, 0.197, 0.000], [0.303, 0.303, 0.500], [0.697, 0.697, 0.500], [0.803, 0.803, 0.000], [0.151, 0.849, 0.656], [0.349, 0.651, 0.156], [0.651, 0.349, 0.844], [0.849, 0.151, 0.344], [0.000, 0.000, 0.000], [0.024, 0.710, 0.347], [0.210, 0.524, 0.847], [0.290, 0.976, 0.347], [0.476, 0.790, 0.847], [0.500, 0.500, 0.500], [0.524, 0.210, 0.153], [0.710, 0.024, 0.653], [0.790, 0.476, 0.153], [0.976, 0.290, 0.653]]}